Record 1
This record from Alexandria via LeMat-Bulk describes a relaxed structure of Lu2CuHg. The functional is GGA-PBE.

Cell and atoms, written as extended XYZ:
```
4
Lattice="-2.6027 -2.4964 -0.1184 0.2293 -2.9451 2.0721 -5.5637 2.8243 7.7712" Properties=species:S:1:pos:R:3 pbc="T T T"
Cu -3.9685 -1.3086 4.8625
Lu -3.8698 -3.9872 4.1861
Lu -4.0673 1.3700 5.5388
Hg 0.0000 0.0000 0.0000
```

Calculated values
ΔE_f in eV per atom: 0.113
ρ in g cm⁻³: 9.279
Total DFT energy (no corrections) in eV per cell: -13.0
DOS at the Fermi energy in states/eV/f.u.: 4.093

***

Record 2
This record from Alexandria via LeMat-Bulk describes a relaxed structure of LuCu2Hg. The functional is GGA-PBE.

Cell and atoms, written as extended XYZ:
```
4
Lattice="3.4245 0.0000 0.0000 0.0000 3.4245 0.0000 0.0000 0.0000 6.2420" Properties=species:S:1:pos:R:3 pbc="T T T"
Cu 0.0000 0.0000 1.5787
Lu 1.7123 1.7123 0.0000
Hg 1.7123 1.7123 3.1210
Cu 0.0000 0.0000 4.6633
```

Calculated values
ΔE_f in eV per atom: -0.105
ρ in g cm⁻³: 11.402
Total DFT energy (no corrections) in eV per cell: -13.4
DOS at the Fermi energy in states/eV/f.u.: 1.610

***

Record 3
This record from Alexandria via LeMat-Bulk describes a relaxed structure of LuMgCuHg. The functional is GGA-PBE.

Cell and atoms, written as extended XYZ:
```
4
Lattice="4.8368 0.0000 0.0000 2.4184 4.1888 0.0000 2.4184 1.3963 3.9493" Properties=species:S:1:pos:R:3 pbc="T T T"
Lu 7.2553 4.1888 2.9619
Mg 2.4184 1.3963 0.9873
Cu 4.8368 2.7925 1.9746
Hg 0.0000 0.0000 0.0000
```

Calculated values
ΔE_f in eV per atom: -0.300
ρ in g cm⁻³: 9.617
Total DFT energy (no corrections) in eV per cell: -11.7
DOS at the Fermi energy in states/eV/f.u.: 1.643

***

Record 4
This record from Alexandria via LeMat-Bulk describes a relaxed structure of NdLuCuHg. The functional is GGA-PBE.

Cell and atoms, written as extended XYZ:
```
4
Lattice="-2.4142 2.5986 -3.7320 -4.9670 1.2473 0.5301 -1.3557 4.9108 0.7449" Properties=species:S:1:pos:R:3 pbc="T T T"
Hg -6.5527 6.5675 -1.8427
Cu -2.1842 2.1892 -0.6142
Lu 0.0000 0.0000 0.0000
Nd -4.3685 4.3783 -1.2285
```

Calculated values
ΔE_f in eV per atom: -0.299
ρ in g cm⁻³: 10.037
Total DFT energy (no corrections) in eV per cell: -14.9
DOS at the Fermi energy in states/eV/f.u.: 3.145

***

Record 5
This record from Alexandria via LeMat-Bulk describes a relaxed structure of LuCuNiHg. The functional is GGA-PBE.

Cell and atoms, written as extended XYZ:
```
4
Lattice="4.5816 0.0000 0.0000 2.2908 3.9678 0.0000 2.2908 1.3226 3.7408" Properties=species:S:1:pos:R:3 pbc="T T T"
Ni 6.8724 3.9678 2.8056
Hg 4.5816 2.6452 1.8704
Lu 0.0000 0.0000 0.0000
Cu 2.2908 1.3226 0.9352
```

Calculated values
ΔE_f in eV per atom: -0.224
ρ in g cm⁻³: 12.155
Total DFT energy (no corrections) in eV per cell: -15.6
DOS at the Fermi energy in states/eV/f.u.: 2.041

***

Record 6
This record from Alexandria via LeMat-Bulk describes a relaxed structure of LuPaCuHg. The functional is GGA-PBE.

Cell and atoms, written as extended XYZ:
```
4
Lattice="5.0677 0.0000 0.0000 2.5339 4.3888 0.0000 2.5339 1.4629 4.1378" Properties=species:S:1:pos:R:3 pbc="T T T"
Cu 2.5339 1.4629 1.0344
Pa 0.0000 0.0000 0.0000
Lu 5.0677 2.9259 2.0689
Hg 7.6016 4.3888 3.1033
```

Calculated values
ΔE_f in eV per atom: 0.055
ρ in g cm⁻³: 12.092
Total DFT energy (no corrections) in eV per cell: -18.2
DOS at the Fermi energy in states/eV/f.u.: 7.906

***

Record 7
This record from Alexandria via LeMat-Bulk describes a relaxed structure of PmLuCuHg. The functional is GGA-PBE.

Cell and atoms, written as extended XYZ:
```
4
Lattice="5.1286 0.0000 0.0000 2.5643 4.4415 0.0000 2.5643 1.4805 4.1875" Properties=species:S:1:pos:R:3 pbc="T T T"
Cu 2.5643 1.4805 1.0469
Hg 7.6929 4.4415 3.1406
Pm 0.0000 0.0000 0.0000
Lu 5.1286 2.9610 2.0937
```

Calculated values
ΔE_f in eV per atom: -0.309
ρ in g cm⁻³: 10.169
Total DFT energy (no corrections) in eV per cell: -14.9
DOS at the Fermi energy in states/eV/f.u.: 3.466

***

Record 8
This record from Alexandria via LeMat-Bulk describes a relaxed structure of PrLuCuHg. The functional is GGA-PBE.

Cell and atoms, written as extended XYZ:
```
4
Lattice="-0.3585 -2.3014 -4.6163 4.1736 -2.1862 -2.1300 0.3254 -5.1482 -0.3544" Properties=species:S:1:pos:R:3 pbc="T T T"
Hg 1.0351 -2.4090 -1.7752
Lu 0.0000 0.0000 0.0000
Pr 2.0702 -4.8179 -3.5503
Cu 3.1054 -7.2269 -5.3255
```

Calculated values
ΔE_f in eV per atom: -0.288
ρ in g cm⁻³: 9.853
Total DFT energy (no corrections) in eV per cell: -14.8
DOS at the Fermi energy in states/eV/f.u.: 2.869

***

Record 9
This record from Alexandria via LeMat-Bulk describes a relaxed structure of LuPuCuHg. The functional is GGA-PBE.

Cell and atoms, written as extended XYZ:
```
4
Lattice="-2.7297 4.2966 0.2590 -4.7820 -0.1209 1.7600 -1.0994 2.0515 4.5346" Properties=species:S:1:pos:R:3 pbc="T T T"
Cu -2.1528 1.5568 1.6384
Hg -6.4583 4.6704 4.9152
Lu -4.3055 3.1136 3.2768
Pu 0.0000 0.0000 0.0000
```

Calculated values
ΔE_f in eV per atom: -0.100
ρ in g cm⁻³: 12.114
Total DFT energy (no corrections) in eV per cell: -23.6
DOS at the Fermi energy in states/eV/f.u.: 9.957

***

Record 10
This record from Alexandria via LeMat-Bulk describes a relaxed structure of LuScCuHg. The functional is GGA-PBE.

Cell and atoms, written as extended XYZ:
```
4
Lattice="-0.3666 0.5350 -4.8708 2.7955 -2.7209 -2.9878 -2.0399 -3.5514 -2.7151" Properties=species:S:1:pos:R:3 pbc="T T T"
Sc 0.1945 -2.8687 -5.2869
Hg 0.2918 -4.3030 -7.9304
Lu 0.0000 0.0000 0.0000
Cu 0.0973 -1.4343 -2.6435
```

Calculated values
ΔE_f in eV per atom: -0.326
ρ in g cm⁻³: 9.581
Total DFT energy (no corrections) in eV per cell: -16.6
DOS at the Fermi energy in states/eV/f.u.: 4.328

***

Record 11
This record from Alexandria via LeMat-Bulk describes a relaxed structure of LuThCuHg. The functional is GGA-PBE.

Cell and atoms, written as extended XYZ:
```
4
Lattice="5.1645 0.0000 0.0000 2.5822 4.4726 0.0000 2.5822 1.4909 4.2168" Properties=species:S:1:pos:R:3 pbc="T T T"
Hg 7.7467 4.4726 3.1626
Th 0.0000 0.0000 0.0000
Lu 5.1645 2.9817 2.1084
Cu 2.5822 1.4909 1.0542
```

Calculated values
ΔE_f in eV per atom: -0.174
ρ in g cm⁻³: 11.442
Total DFT energy (no corrections) in eV per cell: -17.0
DOS at the Fermi energy in states/eV/f.u.: 4.460

***

Record 12
This record from Alexandria via LeMat-Bulk describes a relaxed structure of LuTlCuHg. The functional is GGA-PBE.

Cell and atoms, written as extended XYZ:
```
4
Lattice="4.9692 0.0000 0.0000 2.4846 4.3034 0.0000 2.4846 1.4345 4.0573" Properties=species:S:1:pos:R:3 pbc="T T T"
Hg 7.4538 4.3034 3.0430
Cu 2.4846 1.4345 1.0143
Tl 0.0000 0.0000 0.0000
Lu 4.9692 2.8690 2.0287
```

Calculated values
ΔE_f in eV per atom: -0.084
ρ in g cm⁻³: 12.315
Total DFT energy (no corrections) in eV per cell: -11.6
DOS at the Fermi energy in states/eV/f.u.: 2.199

***

Record 13
This record from Alexandria via LeMat-Bulk describes a relaxed structure of TmLuCuHg. The functional is GGA-PBE.

Cell and atoms, written as extended XYZ:
```
4
Lattice="-2.9224 4.0434 -0.5620 -1.2176 1.5973 -4.6013 -4.7053 -0.5165 -1.6732" Properties=species:S:1:pos:R:3 pbc="T T T"
Lu 0.0000 0.0000 0.0000
Hg -6.6340 3.8432 -5.1274
Tm -4.4226 2.5621 -3.4182
Cu -2.2113 1.2811 -1.7091
```

Calculated values
ΔE_f in eV per atom: -0.350
ρ in g cm⁻³: 11.284
Total DFT energy (no corrections) in eV per cell: -14.8
DOS at the Fermi energy in states/eV/f.u.: 4.238

***

Record 14
This record from Alexandria via LeMat-Bulk describes a relaxed structure of YLuCuHg. The functional is GGA-PBE.

Cell and atoms, written as extended XYZ:
```
4
Lattice="-3.2705 -0.5092 -3.8304 -2.0137 -4.5304 -1.0237 -4.8961 -0.8669 0.9504" Properties=species:S:1:pos:R:3 pbc="T T T"
Y -7.6352 -4.4298 -2.9277
Hg -5.0901 -2.9532 -1.9518
Cu 0.0000 0.0000 0.0000
Lu -2.5451 -1.4766 -0.9759
```

Calculated values
ΔE_f in eV per atom: -0.344
ρ in g cm⁻³: 9.558
Total DFT energy (no corrections) in eV per cell: -16.8
DOS at the Fermi energy in states/eV/f.u.: 4.705